# KNiCl3

An optimized crystal structure of KNiCl3 (GGA-PBEsol, Alexandria via LeMat-Bulk).

Calculated values
**Calculated total energy**: -3.7917 eV/atom
**Formation energy from raw total energies**: -1.13 eV/atom
**Size of the total moment**: 0.3946 μB/atom

Cell: 11.601 11.601 5.849 Å, 90.00 90.00 120.00°
Element x y z (fractional)
K 0.000 0.334 0.000
K 0.000 0.666 0.500
K 0.334 0.000 0.000
K 0.334 0.334 0.500
K 0.666 0.000 0.500
K 0.666 0.666 0.000
Ni 0.000 0.000 0.178
Ni 0.000 0.000 0.678
Ni 0.333 0.667 0.300
Ni 0.333 0.667 0.800
Ni 0.667 0.333 0.300
Ni 0.667 0.333 0.800
Cl 0.000 0.160 0.425
Cl 0.000 0.840 0.925
Cl 0.160 0.000 0.425
Cl 0.160 0.160 0.925
Cl 0.174 0.507 0.552
Cl 0.174 0.667 0.052
Cl 0.333 0.507 0.052
Cl 0.333 0.826 0.552
Cl 0.493 0.667 0.552
Cl 0.493 0.826 0.052
Cl 0.507 0.174 0.552
Cl 0.507 0.333 0.052
Cl 0.667 0.174 0.052
Cl 0.667 0.493 0.552
Cl 0.826 0.333 0.552
Cl 0.826 0.493 0.052
Cl 0.840 0.000 0.925
Cl 0.840 0.840 0.425

=====

# KNiS2Cl

An optimized crystal structure of KNiS2Cl (GGA-PBEsol, Alexandria via LeMat-Bulk).

Calculated values
**Calculated total energy**: -4.0802 eV/atom
**Formation energy from raw total energies**: -0.47 eV/atom
**Size of the total moment**: 0.3536 μB/atom

Cell: 4.371 4.371 5.346 Å, 90.00 90.00 90.00°
Element x y z (fractional)
K 0.000 0.000 0.000
Ni 0.500 0.500 0.500
S 0.000 0.500 0.500
S 0.500 0.000 0.500
Cl 0.500 0.500 0.000

=====

# K2TaNiCl

An optimized crystal structure of K2TaNiCl (GGA-PBEsol, Alexandria via LeMat-Bulk).

Calculated values
**Calculated total energy**: -3.9189 eV/atom
**Formation energy from raw total energies**: 0.68 eV/atom
**Size of the total moment**: 0.4120 μB/atom

Cell: 6.027 6.027 4.519 Å, 90.00 90.00 90.00°
Element x y z (fractional)
K 0.000 0.500 0.000
K 0.500 0.000 0.000
Ta 0.000 0.000 0.500
Ni 0.000 0.000 0.000
Cl 0.500 0.500 0.500